4
Lattice="-1.8121 2.7871 5.8402 1.8121 -2.7871 5.8402 1.8121 2.7871 -5.8402" Properties=species:S:1:pos:R:3 comment="La2ZrHg PBE relaxed" delta_e_f_kj_per_mol_atoms=-10.2 magmom_total_mub_per_cell=0.000 e_tot_ev_per_atom=-4.7821 dos_at_fermi_per_ev_fu=5.48 space_group="No. 44" pbc="T T T"
La 0.0000 0.0000 0.0000
La 0.0000 2.7871 2.4853
Zr 1.8121 0.0000 3.0900
Hg 0.0000 0.0000 5.4285